Record 1
Pm6Sn2N: relaxed, GGA-PBE. Values from VASP.

Output
crystal system: cubic
calculated density: 7.48 g cm⁻³
energy relative to the lowest polymorph listed for this composition: 0.0 meV per atom

Structure (Quantum ESPRESSO input):
```
&SYSTEM
  ibrav = 0, nat = 9, ntyp = 3
/
ATOMIC_SPECIES
Pm 145.00 Pm.upf
Sn 118.71 Sn.upf
N 14.01 N.upf
CELL_PARAMETERS angstrom
0.0000 4.9930 4.9930
4.9930 0.0000 4.9930
4.9930 4.9930 0.0000
ATOMIC_POSITIONS angstrom
Pm 4.9930 4.9930 2.4469
Pm 4.9930 2.4469 4.9930
Pm 7.5391 4.9930 4.9930
Pm 2.4469 4.9930 4.9930
Pm 4.9930 7.5391 4.9930
Pm 4.9930 4.9930 7.5391
Sn 2.4965 2.4965 2.4965
Sn 7.4895 7.4895 7.4895
N 0.0000 0.0000 0.0000
```


Record 2
Pm12Sn3N5: relaxed, GGA-PBE. Values from VASP.

Output
crystal system: cubic
calculated density: 6.90 g cm⁻³

Structure (Quantum ESPRESSO input):
```
&SYSTEM
  ibrav = 0, nat = 80, ntyp = 3
/
ATOMIC_SPECIES
Pm 145.00 Pm.upf
Sn 118.71 Sn.upf
N 14.01 N.upf
CELL_PARAMETERS angstrom
-8.0486 8.0486 8.0486
8.0486 -8.0486 8.0486
8.0486 8.0486 -8.0486
ATOMIC_POSITIONS angstrom
Pm 2.3722 -0.5987 0.8086
Pm 9.7008 4.8329 -4.6230
Pm 10.4208 0.5987 0.8086
Pm 9.7008 -3.2158 4.6230
Pm 7.4500 -0.8086 2.3722
Pm 12.6716 -1.6521 3.2158
Pm 0.8086 2.3722 -0.5987
Pm 11.2644 3.4257 -1.6521
Pm 4.8329 4.6230 -1.6521
Pm 7.2401 2.3722 0.5987
Pm -0.5987 0.8086 2.3722
Pm 4.6230 -1.6521 4.8329
Pm 7.4500 7.2401 -2.3722
Pm 4.6230 1.6521 3.2158
Pm 4.8329 -4.6230 9.7008
Pm 7.2401 -2.3722 7.4500
Pm 3.2158 4.6230 1.6521
Pm 8.8572 5.6764 0.5987
Pm 4.6230 9.7008 -3.2158
Pm 7.4500 0.8086 5.6764
Pm 2.3722 7.4500 -0.8086
Pm 9.7008 3.2158 3.4257
Pm 1.6521 3.2158 4.6230
Pm 2.3722 0.5987 7.2401
Pm 5.6764 7.4500 0.8086
Pm 6.3965 4.8329 3.4257
Pm -1.6521 4.8329 4.6230
Pm 5.6764 0.5987 8.8572
Pm 0.5987 7.2401 2.3722
Pm 3.4257 -1.6521 11.2644
Pm -0.8086 2.3722 7.4500
Pm 4.8329 3.4257 6.3965
Pm 0.8086 10.4208 0.5987
Pm 3.2158 12.6716 -1.6521
Pm 3.4257 6.3965 4.8329
Pm 0.5987 0.8086 10.4208
Pm 3.4257 9.7008 3.2158
Pm 8.6473 7.2401 5.6764
Pm 0.8086 5.6764 7.4500
Pm 3.2158 3.4257 9.7008
Pm -3.2158 4.6230 9.7008
Pm 7.2401 5.6764 8.6473
Pm -4.6230 9.7008 4.8329
Pm 0.5987 8.8572 5.6764
Pm -1.6521 11.2644 3.4257
Pm -2.3722 7.4500 7.2401
Pm -1.6521 3.2158 12.6716
Pm 5.6764 8.6473 7.2401
Sn 4.0243 2.0122 0.0000
Sn 8.0486 4.0243 -2.0122
Sn 2.0122 0.0000 4.0243
Sn 10.0608 0.0000 4.0243
Sn 0.0000 4.0243 2.0122
Sn 4.0243 -2.0122 8.0486
Sn 4.0243 10.0608 0.0000
Sn 8.0486 4.0243 6.0365
Sn -2.0122 8.0486 4.0243
Sn 6.0365 8.0486 4.0243
Sn 0.0000 4.0243 10.0608
Sn 4.0243 6.0365 8.0486
N 0.0000 0.0000 0.0000
N 4.0243 4.0243 -4.0243
N 4.0243 -4.0243 4.0243
N 8.0486 0.0000 0.0000
N 12.0730 2.0122 0.0000
N 8.0486 -4.0243 6.0365
N 6.0365 8.0486 -4.0243
N 6.0365 0.0000 4.0243
N 4.0243 6.0365 0.0000
N 8.0486 4.0243 2.0122
N -4.0243 4.0243 4.0243
N 0.0000 8.0486 0.0000
N 0.0000 0.0000 8.0486
N 4.0243 4.0243 4.0243
N 0.0000 4.0243 6.0365
N 4.0243 2.0122 8.0486
N 2.0122 8.0486 4.0243
N 2.0122 0.0000 12.0730
N 0.0000 12.0730 2.0122
N -4.0243 6.0365 8.0486
```


Record 3
PmSnN: relaxed, GGA-PBE. Values from VASP.

Output
crystal system: tetragonal
calculated density: 7.34 g cm⁻³
energy relative to the lowest polymorph listed for this composition: 0.0 meV per atom

Structure (Quantum ESPRESSO input):
```
&SYSTEM
  ibrav = 0, nat = 6, ntyp = 3
/
ATOMIC_SPECIES
Pm 145.00 Pm.upf
Sn 118.71 Sn.upf
N 14.01 N.upf
CELL_PARAMETERS angstrom
3.6004 0.0000 0.0000
0.0000 3.6004 0.0000
0.0000 0.0000 9.6883
ATOMIC_POSITIONS angstrom
Pm 0.9001 0.9001 1.2448
Pm 2.7003 2.7003 8.4435
Sn 0.9001 0.9001 6.1741
Sn 2.7003 2.7003 3.5142
N 0.9001 0.9001 8.5452
N 2.7003 2.7003 1.1431
```


Record 4
Pm7Sn2N2: relaxed, GGA-PBE. Values from VASP.

Output
crystal system: orthorhombic
calculated density: 7.30 g cm⁻³

Structure (Quantum ESPRESSO input):
```
&SYSTEM
  ibrav = 0, nat = 11, ntyp = 3
/
ATOMIC_SPECIES
Pm 145.00 Pm.upf
Sn 118.71 Sn.upf
N 14.01 N.upf
CELL_PARAMETERS angstrom
-1.7451 8.0542 5.1783
1.7451 -8.0542 5.1783
1.7451 8.0542 -5.1783
ATOMIC_POSITIONS angstrom
Pm 0.0000 0.0000 0.0000
Pm 1.7451 5.8580 -0.7154
Pm 1.7451 2.9651 1.3188
Pm 0.0000 2.1962 4.4629
Pm 0.0000 5.4097 3.0392
Pm 0.0000 5.0892 6.4971
Pm 0.0000 10.6988 3.0392
Sn 1.7451 0.0000 2.7272
Sn 0.0000 0.0000 7.0546
N 1.7451 -3.7078 3.6534
N 1.7451 3.7078 3.6534
```


no.,formation energy (no corrections) (eV per atom),electronic total energy (hartree per atom)
1,-0.68,-0.2079
2,-0.88,-0.2356
3,-0.86,-0.2409
4,-0.61,-0.2160